RbInPbO3: relaxed, PBE.

Results
VASP energy   -30.610 eV/f.u.
E_form (uncorrected)   -1386.8 meV/atom

a b c (Å): 3.4374 10.3656 6.9441
angles (deg): 95.94 90.00 90.00
Closest atoms and distances in Å follow each position.
Atoms (fractional coordinates):
Rb1 0.2500 0.3343 0.3974  5 O 2.74-3.01
Rb2 0.7500 0.6657 0.6026  5 O 2.74-3.01
In1 0.2500 0.6268 0.0836  6 O 2.23-2.30
In2 0.7500 0.3732 0.9164  6 O 2.23-2.30
Pb1 0.2500 0.0957 0.7757  3 O 2.18-2.28
Pb2 0.7500 0.9043 0.2243  3 O 2.18-2.28
O1 0.7500 0.7465 0.9906  1 Pb 2.18, 2 In 2.25
O2 0.2500 0.2535 0.0094  1 Pb 2.18, 2 In 2.25
O3 0.2500 0.7889 0.3362  2 Pb 2.28, 1 In 2.30
O4 0.7500 0.2111 0.6638  2 Pb 2.28, 1 In 2.30
O5 0.7500 0.5110 0.1849  3 In 2.23-2.25
O6 0.2500 0.4890 0.8151  3 In 2.23-2.25